Computed, not measured: an optimized crystal structure of CaWBr2 at the PBE level of DFT.

The structure belongs to space group Pm (No. 6); the cell edges are 4.4462, 3.3636 and 7.9679 Å and the angles 90.00°, 106.11° and 90.00°. The distinct sites, in fractional coordinates, are Ca at (0.0000, 0.0000, 0.0000), W at (0.4017, 0.5000, 0.8020), Br at (0.2782, 0.0000, 0.5514) and Br at (0.5749, 0.5000, 0.1509).

The calculation puts the uncorrected energy at -18.272 eV for the cell shown. The energy relative to the elements, uncorrected is 0.007 eV per atom. The total magnetization is 1.29 μB/cell. For the theoretical density, the calculation gives 5.57 g cm⁻³.